Density functional theory data (PBE-GGA) for an optimized crystal structure of La2Ga4Ni3Ru.

## Properties
calculated formation energy	-5.503	eV/f.u.
E_tot	-54.09	eV/cell

Cell: 4.2707 4.2707 9.8818 Å, 90.00 90.00 90.00°
With the nearest neighbours (Å) after each atom.
Space group P-4m2 (No. 115)
Symmetry-distinct sites (fractional):
La (0.0000, 0.5000, 0.2430) [2 per cell]  6 Ni 3.21-3.29, 2 Ru 3.21, 8 Ga 3.23-3.32
Ga (0.0000, 0.0000, 0.5000) [1 per cell]  4 Ni 2.47
Ga (0.0000, 0.5000, 0.8722) [2 per cell]  3 Ni 2.45-2.48, 2 Ru 2.48
Ga (0.5000, 0.5000, 0.5000) [1 per cell]  4 Ni 2.47
Ni (0.0000, 0.0000, 0.0000) [1 per cell]  4 Ga 2.48
Ni (0.0000, 0.5000, 0.6248) [2 per cell]  5 Ga 2.45-2.47
Ru (0.5000, 0.5000, 0.0000) [1 per cell]  4 Ga 2.48